No. 1
A plane-wave DFT calculation with PBE was carried out for SrBeSe after structural relaxation.

```
SrBeSe
1.0
5.9227 0.0000 0.0000
3.8459 4.5041 0.0000
-4.8843 -2.2521 2.4799
Se Sr Be
1 1 1
Direct
0.3750 0.3750 0.0000
0.6633 0.6633 0.0000
0.9618 0.9618 0.0000
```

Computed properties:
energy relative to the lowest polymorph listed for this composition: 0.236 eV/atom
D(E_F): 0.1732 states/eV per atom
space-group type: I4mm, No. 107

---

No. 2
A plane-wave DFT calculation with PBE was carried out for MnN2Cl6 after structural relaxation.

```
MnN2Cl6
1.0
3.0356 -5.6927 3.4084
0.6795 0.0359 7.2647
-4.1212 -4.4359 4.0716
N Cl Mn
2 6 1
Direct
0.2500 0.2500 0.2500
0.7500 0.7500 0.7500
0.2170 0.7830 0.2170
0.7830 0.2170 0.7830
0.2170 0.2170 0.7830
0.7830 0.2170 0.2170
0.2170 0.7830 0.7830
0.7830 0.7830 0.2170
0.0000 0.0000 0.0000
```

Computed properties:
D(E_F): 1.6676 states/eV per atom
space-group type: Fm-3m, No. 225

---

No. 3
A plane-wave DFT calculation with PBE was carried out for Rb2SnTeO6 after structural relaxation.

```
Rb2SnTeO6
1.0
-5.7896 1.1885 -1.2338
-4.0173 -4.5000 -0.2572
-5.0862 -0.0281 9.0661
Te O Sn Rb
2 12 2 4
Direct
0.0000 0.0000 0.0000
0.5000 0.5000 0.5000
0.6011 0.6011 0.6290
0.8067 0.8067 0.1160
0.1688 0.6011 0.6290
0.2706 0.8067 0.1160
0.8312 0.3989 0.3710
0.1933 0.1933 0.8840
0.3989 0.8312 0.3710
0.7294 0.1933 0.8840
0.8067 0.2706 0.1160
0.3989 0.3989 0.3710
0.6011 0.1688 0.6290
0.1933 0.7294 0.8840
0.4036 0.4036 0.7893
0.5964 0.5964 0.2107
0.7218 0.7218 0.8345
0.2782 0.2782 0.1655
0.1311 0.1311 0.6066
0.8689 0.8689 0.3934
```

Computed properties:
D(E_F): 0.2385 states/eV per atom
space-group type: R-3m, No. 166

---

Q: Which energy relative to the elements, uncorrected values were calculated for the entries above? A: -0.328; 0.871; -1.374, in eV/atom.